w:
LaH2Au2 | PBE-GGA | optimized geometry

POSCAR file:
```
LaH2Au2
1.0
6.510 0.000 0.000
0.000 6.510 0.000
0.000 0.000 3.953
La H Au
2 4 4
Direct
0.000 0.000 0.000
0.500 0.500 0.000
0.150 0.350 0.000
0.350 0.850 0.000
0.650 0.150 0.000
0.850 0.650 0.000
0.154 0.346 0.500
0.346 0.846 0.500
0.654 0.154 0.500
0.846 0.654 0.500
```

---

x:
LaH2Au2 | PBE-GGA | optimized geometry

POSCAR file:
```
LaH2Au2
1.0
5.882 -2.015 0.000
5.882 2.015 0.000
-2.580 0.000 6.815
La H Au
2 4 4
Direct
0.206 0.794 0.750
0.794 0.206 0.250
0.239 0.654 0.045
0.346 0.761 0.455
0.654 0.239 0.545
0.761 0.346 0.955
0.280 0.286 0.893
0.286 0.280 0.393
0.714 0.720 0.607
0.720 0.714 0.107
```

---

y:
LaH2Au2 | PBE-GGA | optimized geometry

POSCAR file:
```
LaH2Au2
1.0
-2.069 2.069 4.537
2.069 -2.069 4.537
2.069 2.069 -4.537
La H Au
1 2 2
Direct
0.000 0.000 0.000
0.250 0.750 0.500
0.750 0.250 0.500
0.344 0.344 0.000
0.656 0.656 0.000
```

---

Tell me which of them is the most stable. Sure, it is x.

---

w:
La2H2Au | PBE-GGA | optimized geometry

POSCAR file:
```
La2H2Au
1.0
-1.925 1.925 6.629
1.925 -1.925 6.629
1.925 1.925 -6.629
La H Au
2 2 1
Direct
0.142 0.142 0.000
0.858 0.858 0.000
0.250 0.750 0.500
0.750 0.250 0.500
0.500 0.500 0.000
```

---

x:
La2H2Au | PBE-GGA | optimized geometry

POSCAR file:
```
La2H2Au
1.0
7.357 0.000 0.000
0.000 7.357 0.000
0.000 0.000 3.353
La H Au
4 4 2
Direct
0.172 0.328 0.000
0.328 0.828 0.000
0.672 0.172 0.000
0.828 0.672 0.000
0.113 0.613 0.500
0.387 0.113 0.500
0.613 0.887 0.500
0.887 0.387 0.500
0.000 0.000 0.500
0.500 0.500 0.500
```

---

Tell me which of them is the most stable. Sure, it is w.

---

w:
LiLa2HAu | PBE-GGA | optimized geometry

POSCAR file:
```
LiLa2HAu
1.0
5.145 0.000 0.000
0.000 5.145 0.000
0.000 0.000 4.201
Li La H Au
1 2 1 1
Direct
0.000 0.000 0.000
0.000 0.500 0.500
0.500 0.000 0.500
0.500 0.500 0.500
0.500 0.500 0.000
```

---

x:
LiLa2HAu | PBE-GGA | optimized geometry

POSCAR file:
```
LiLa2HAu
1.0
5.189 0.000 0.000
0.000 5.189 0.000
0.000 0.000 4.018
Li La H Au
1 2 1 1
Direct
0.000 0.000 0.000
0.000 0.500 0.500
0.500 0.000 0.500
0.000 0.000 0.500
0.500 0.500 0.000
```

---

Tell me which of them is the most stable. Sure, it is x.

---

w:
La2MgHAu | PBE-GGA | optimized geometry

POSCAR file:
```
La2MgHAu
1.0
5.206 0.000 0.000
0.000 5.206 0.000
0.000 0.000 4.254
La Mg H Au
2 1 1 1
Direct
0.000 0.500 0.000
0.500 0.000 0.000
0.000 0.000 0.500
0.500 0.500 0.000
0.500 0.500 0.500
```

---

x:
La2MgHAu | PBE-GGA | optimized geometry

POSCAR file:
```
La2MgHAu
1.0
5.037 0.000 0.000
0.000 5.037 0.000
0.000 0.000 4.421
La Mg H Au
2 1 1 1
Direct
0.000 0.500 0.000
0.500 0.000 0.000
0.000 0.000 0.500
0.000 0.000 0.000
0.500 0.500 0.500
```

---

Tell me which of them is the most stable. Sure, it is x.

---

w:
LaTeHRhAu | PBE-GGA | optimized geometry

POSCAR file:
```
LaTeHRhAu
1.0
4.030 -2.338 0.000
4.030 2.338 0.000
-2.784 0.000 5.102
La Te H Rh Au
1 1 1 1 1
Direct
0.000 0.000 0.000
0.791 0.791 0.363
0.494 0.494 0.758
0.496 0.496 0.468
0.231 0.231 0.713
```

---

x:
LaTeHRhAu | PBE-GGA | optimized geometry

POSCAR file:
```
LaTeHRhAu
1.0
4.271 0.000 0.000
-1.526 4.224 0.000
-1.157 -1.124 5.937
La Te H Rh Au
1 1 1 1 1
Direct
0.000 0.000 0.000
0.868 0.371 0.554
0.491 0.781 0.693
0.270 0.997 0.633
0.455 0.674 0.246
```

---

y:
LaTeHRhAu | PBE-GGA | optimized geometry

POSCAR file:
```
LaTeHRhAu
1.0
3.942 -2.719 0.000
3.942 2.719 0.000
-0.050 0.000 4.666
La Te H Rh Au
1 1 1 1 1
Direct
0.000 0.000 0.000
0.689 0.689 0.508
0.319 0.319 0.119
0.523 0.523 0.002
0.300 0.300 0.528
```

---

z:
LaTeHRhAu | PBE-GGA | optimized geometry

POSCAR file:
```
LaTeHRhAu
1.0
4.256 -1.937 0.000
4.256 1.937 0.000
-2.130 0.000 6.545
La Te H Rh Au
1 1 1 1 1
Direct
0.000 0.000 0.000
0.783 0.783 0.362
0.163 0.163 0.742
0.462 0.462 0.287
0.639 0.639 0.721
```

---

Tell me which of them is the most stable. Sure, it is y.

---

w:
LaTeHRhAu | PBE-GGA | optimized geometry

POSCAR file:
```
LaTeHRhAu
1.0
4.265 0.000 0.000
1.170 4.510 0.000
1.098 2.094 5.702
La Te H Rh Au
1 1 1 1 1
Direct
0.000 0.000 0.000
0.097 0.689 0.585
0.744 0.528 0.115
0.547 0.598 0.892
0.298 0.245 0.310
```

---

x:
LaTeHRhAu | PBE-GGA | optimized geometry

POSCAR file:
```
LaTeHRhAu
1.0
3.907 -2.252 0.000
3.907 2.252 0.000
-0.017 0.000 6.307
La Te H Rh Au
1 1 1 1 1
Direct
0.000 0.000 0.000
0.666 0.666 0.646
0.333 0.333 0.026
0.333 0.333 0.749
0.334 0.334 0.319
```

---

Tell me which of them is the most stable. Sure, it is w.

---

w:
LaTeHRhAu | PBE-GGA | optimized geometry

POSCAR file:
```
LaTeHRhAu
1.0
4.096 0.000 0.000
-0.005 4.145 0.000
-1.796 -1.950 5.986
La Te H Rh Au
1 1 1 1 1
Direct
0.000 0.000 0.000
0.615 0.617 0.249
0.196 0.272 0.650
0.150 0.837 0.633
0.629 0.324 0.611
```

---

x:
LaTeHRhAu | PBE-GGA | optimized geometry

POSCAR file:
```
LaTeHRhAu
1.0
2.328 1.344 5.165
-2.328 1.344 5.165
0.000 -2.688 5.165
La Te H Rh Au
1 1 1 1 1
Direct
0.000 0.000 0.000
0.209 0.209 0.209
0.642 0.642 0.642
0.531 0.531 0.531
0.772 0.772 0.772
```

---

y:
LaTeHRhAu | PBE-GGA | optimized geometry

POSCAR file:
```
LaTeHRhAu
1.0
4.877 -2.444 0.000
4.877 2.444 0.000
-1.291 0.000 4.445
La Te H Rh Au
1 1 1 1 1
Direct
0.000 0.000 0.000
0.749 0.749 0.331
0.455 0.455 0.812
0.624 0.624 0.756
0.250 0.250 0.665
```

---

z:
LaTeHRhAu | PBE-GGA | optimized geometry

POSCAR file:
```
LaTeHRhAu
1.0
3.774 0.000 0.000
0.000 4.718 0.000
0.000 0.000 5.580
La Te H Rh Au
1 1 1 1 1
Direct
0.000 0.000 0.000
0.500 0.000 0.478
0.000 0.500 0.223
0.500 0.500 0.242
0.500 0.500 0.762
```

---

Tell me which of them is the most stable. Sure, it is x.

---

w:
LaSnH2Au | PBE-GGA | optimized geometry

POSCAR file:
```
LaSnH2Au
1.0
2.351 1.357 4.705
-2.351 1.357 4.705
0.000 -2.715 4.705
La Sn H Au
1 1 2 1
Direct
0.000 0.000 0.000
0.513 0.513 0.513
0.350 0.350 0.350
0.664 0.664 0.664
0.212 0.212 0.212
```

---

x:
LaSnH2Au | PBE-GGA | optimized geometry

POSCAR file:
```
LaSnH2Au
1.0
3.498 -2.156 0.000
3.498 2.156 0.000
-2.476 0.000 6.050
La Sn H Au
1 1 2 1
Direct
0.000 0.000 0.000
0.513 0.513 0.600
0.320 0.320 0.948
0.693 0.693 0.098
0.789 0.789 0.395
```

---

y:
LaSnH2Au | PBE-GGA | optimized geometry

POSCAR file:
```
LaSnH2Au
1.0
4.044 0.000 0.000
0.000 2.411 4.801
0.000 -2.411 4.801
La Sn H Au
1 1 2 1
Direct
0.000 0.000 0.000
0.500 0.713 0.713
0.500 0.300 0.812
0.500 0.812 0.300
0.000 0.312 0.312
```

---

Tell me which of them is the most stable. Sure, it is x.